LiMgTaNi PBE relaxed; space-group type = F-43m (216); energy relative to the lowest polymorph listed for this composition = 0.000 eV/atom; magnetization = 0.00 μB per atom
1.0
-2.199 -3.696 -0.459
-4.057 0.069 -1.499
-0.871 -1.522 -3.954
Ni Ta Mg Li
1 1 1 1
direct
0.500 0.500 0.500
0.250 0.250 0.250
0.750 0.750 0.750
0.000 0.000 0.000

DyYCo2Pb PBE relaxed; space-group type = Amm2 (38); magnetization = 0.29 μB per atom; electronic total energy = -6.14 eV per atom
1.0
-2.267 1.558 -2.703
-3.139 -6.506 -1.116
-5.245 -4.826 1.618
Dy Co Pb Y
1 2 1 1
direct
0.500 0.359 0.359
0.000 0.207 0.207
0.000 0.794 0.794
0.000 0.000 0.000
0.500 0.639 0.639

TlGeTe4Au3 PBE relaxed; space-group type = P-43m (215); electronic total energy = -3.24 eV per atom
1.0
-5.855 0.508 -3.139
1.946 -4.629 -4.379
-2.515 -4.765 3.920
Ge Au Te Tl
1 3 4 1
direct
0.500 0.500 0.500
0.500 0.500 0.000
0.500 0.000 0.500
0.000 0.500 0.500
0.738 0.262 0.738
0.262 0.262 0.262
0.738 0.738 0.262
0.262 0.738 0.738
0.000 0.000 0.000

SrGdIr PBE relaxed; space-group type = F-43m (216); magnetization = 0.00 μB per atom; electronic total energy = -5.41 eV per atom
1.0
1.410 -3.430 3.305
4.674 -1.681 -0.005
3.086 1.230 3.693
Gd Sr Ir
1 1 1
direct
0.750 0.750 0.750
0.250 0.250 0.250
0.000 0.000 0.000

TlPdAu PBE relaxed; space-group type = F-43m (216); electronic total energy = -3.45 eV per atom
1.0
0.000 3.219 3.219
3.219 0.000 3.219
3.219 3.219 0.000
Au Tl Pd
1 1 1
direct
0.250 0.250 0.250
0.000 0.000 0.000
0.750 0.750 0.750

NdZrW PBE relaxed; space-group type = F-43m (216); ΔH_f (0 K) = 1.62 eV/atom; energy relative to the lowest polymorph listed for this composition = 0.876 eV/atom; magnetization = 0.10 μB per atom
1.0
0.000 3.358 3.358
3.358 0.000 3.358
3.358 3.358 0.000
W Nd Zr
1 1 1
direct
0.250 0.250 0.250
0.000 0.000 0.000
0.750 0.750 0.750

PaO2 PBE relaxed; space-group type = P4_2/mnm (136); magnetization = 0.33 μB per atom; electronic total energy = -9.38 eV per atom
1.0
-3.176 3.590 -2.099
2.087 -0.908 -4.711
-2.537 -2.608 -0.621
O Pa
4 2
direct
0.811 0.189 0.500
0.189 0.811 0.500
0.311 0.311 0.000
0.689 0.689 0.000
0.500 0.500 0.500
0.000 0.000 0.000

OsSe2NF6 PBE relaxed; space-group type = C2/m (12); magnetization = 0.30 μB per atom; electronic total energy = -4.77 eV per atom
1.0
4.645 -2.965 0.000
4.645 2.965 0.000
-0.039 0.000 5.013
Se N F Os
2 1 6 1
direct
0.658 0.658 0.354
0.342 0.342 0.646
0.500 0.500 0.500
0.354 0.899 0.870
0.106 0.106 0.327
0.646 0.101 0.130
0.101 0.646 0.130
0.899 0.354 0.870
0.894 0.894 0.673
0.000 0.000 0.000

Lu2Ir5C4 PBE relaxed; space-group type = Fmmm (69); magnetization = 0.00 μB per atom; electronic total energy = -7.96 eV per atom
1.0
0.000 4.695 6.007
2.645 0.000 6.007
2.645 4.695 0.000
Ir Lu C
5 2 4
direct
0.250 0.250 0.250
0.500 0.500 0.000
0.000 0.000 0.500
0.500 0.500 0.500
0.750 0.750 0.750
0.139 0.139 0.861
0.861 0.861 0.139
0.789 0.464 0.536
0.211 0.536 0.464
0.536 0.211 0.789
0.464 0.789 0.211

TbNdCo2Ge2C PBE relaxed; space-group type = Cm (8); magnetization = 0.00 μB per atom; electronic total energy = -6.60 eV per atom
1.0
-1.349 1.866 5.319
-4.531 2.127 2.922
0.872 -6.632 -1.880
Tb Ge Nd C Co
1 2 1 1 2
direct
0.443 0.443 0.709
0.834 0.834 0.291
0.168 0.168 0.714
0.560 0.560 0.298
0.997 0.997 0.990
0.810 0.810 0.919
0.189 0.189 0.079

ZrGaAs PBE relaxed; space-group type = F-43m (216); magnetization = 0.03 μB per atom; electronic total energy = -5.50 eV per atom
1.0
-0.434 -4.468 0.914
-1.490 -1.362 4.112
-4.166 -1.856 0.427
Ga As Zr
1 1 1
direct
0.750 0.750 0.750
0.250 0.250 0.250
0.000 0.000 0.000

NaSmAuSe3 PBE relaxed; space-group type = Cmcm (63); magnetization = 0.00 μB per atom; electronic total energy = -4.32 eV per atom
1.0
-6.264 3.681 1.407
5.357 -1.699 -4.815
-5.699 -8.410 -3.374
Sm Se Na Au
2 6 2 2
direct
0.500 0.500 0.500
0.500 0.500 0.000
0.142 0.858 0.937
0.142 0.858 0.563
0.594 0.406 0.250
0.858 0.142 0.437
0.406 0.594 0.750
0.858 0.142 0.063
0.733 0.267 0.750
0.267 0.733 0.250
0.026 0.974 0.750
0.974 0.026 0.250